Material: AlAg2
Method: DFT, PBEsol
State: optimized geometry

Cell: 2.8916 3.8990 8.5896 Å, 90.00 90.00 90.00°
Fractional coordinates of all 6 atoms:
Ag  0.0000  0.0000  0.3267
Al  0.5000  0.5000  0.8282
Ag  0.0000  0.0000  0.0000
Al  0.5000  0.5000  0.1718
Ag  0.5000  0.5000  0.5000
Ag  0.0000  0.0000  0.6733

Values from the calculation:
As for the crystal system: orthorhombic.



Material: Al5Ag3
Method: DFT, PBEsol
State: optimized geometry

Cell: 4.9044 4.9044 6.3823 Å, 105.62 105.62 107.42°
Fractional coordinates of all 8 atoms:
Al  0.3765  0.8765  0.7529
Al  0.5000  0.5000  0.0000
Al  0.8765  0.3765  0.7529
Al  0.1235  0.6235  0.2471
Ag  0.2545  0.2545  0.5089
Ag  0.7455  0.7455  0.4911
Al  0.6235  0.1235  0.2471
Ag  0.0000  0.0000  0.0000

Values from the calculation:
As for the crystal system: orthorhombic. For the offset from the most stable computed form, the calculation gives 0.043 eV per atom.



Material: AlAg2
Method: DFT, PBEsol
State: optimized geometry

Cell: 2.9811 8.1090 8.5482 Å, 110.23 90.00 90.00°
Fractional coordinates of all 12 atoms:
Ag  0.5000  0.7572  0.4153
Al  0.0000  0.0045  0.3308
Al  0.5000  0.2540  0.9224
Ag  0.5000  0.7461  0.7487
Ag  0.5000  0.7612  0.0862
Ag  0.5000  0.2428  0.2550
Ag  0.0000  0.4927  0.1548
Ag  0.5000  0.2396  0.5985
Al  0.0000  0.5066  0.8331
Ag  0.0000  0.0117  0.9902
Ag  0.0000  0.4943  0.5006
Al  0.0000  0.9894  0.6644

Values from the calculation:
As for the crystal system: monoclinic.



Material: AlAg2
Method: DFT, PBEsol
State: optimized geometry

Cell: 4.4810 4.4810 5.5532 Å, 90.00 90.00 120.00°
Fractional coordinates of all 6 atoms:
Al  0.6667  0.3333  0.2500
Ag  0.0000  0.0000  0.0000
Ag  0.0000  0.0000  0.5000
Ag  0.3333  0.6667  0.2500
Ag  0.6667  0.3333  0.7500
Al  0.3333  0.6667  0.7500

Values from the calculation:
As for the crystal system: hexagonal.



no.,formation enthalpy at 0 K (eV per atom)
1,-0.068
2,-0.016
3,-0.075
4,-0.087